Compound: SrTh6Bi8
Source: Alexandria
Functional: GGA-PBE
Structure: relaxed

- E: -0.208 hartree per atom
- Size of the total moment: 0.01 μB/f.u.

Cell lengths 9.7422, 9.7422, 19.4626 Å; angles 90.00, 90.00, 120.00 degrees
Space group R-3 (No. 148, hexagonal axes)
Asymmetric unit:
Sr (0.0000, 0.0000, 0.0000)
Th (0.0074, 0.3848, 0.9240)
Bi (0.0000, 0.0000, 0.3356)
Bi (0.0085, 0.2870, 0.0920)